[1]
First-principles (PBE) data for a geometry-optimized Ac8La2Pm3 structure, as listed in Alexandria via LeMat-Bulk.

```
Ac8La2Pm3
1.0
-3.6896 -6.2823 -1.1058
-6.4545 -3.1428 7.4785
-10.3111 0.5954 -0.8908
La Pm Ac
2 3 8
direct
0.5300 0.1933 0.1933
0.4700 0.8067 0.8067
0.0000 0.1640 0.8360
0.5000 0.0000 0.0000
0.0000 0.8360 0.1640
0.4594 0.8026 0.4330
0.9875 0.4001 0.4001
0.4594 0.4330 0.8026
0.5406 0.1974 0.5670
0.0125 0.5999 0.5999
0.0125 0.1861 0.1861
0.9875 0.8139 0.8139
0.5406 0.5670 0.1974
```

Summary:
ΔH_f (0 K) = 0.206 eV/atom
distance to the lowest polymorph of the same formula = 2 meV per atom

---

[2]
First-principles (PBE) data for a geometry-optimized Cd2CuAg structure, as listed in Alexandria via LeMat-Bulk.

```
Cd2CuAg
1.0
4.0610 0.0000 0.0000
0.0000 4.0610 0.0000
2.0305 2.0305 9.8323
Ag Cu Cd
2 2 4
direct
0.7500 0.2500 0.5000
0.0000 0.0000 0.0000
0.5000 0.5000 0.0000
0.2500 0.7500 0.5000
0.8750 0.8687 0.7500
0.3750 0.3813 0.7500
0.1313 0.6250 0.2500
0.6187 0.1250 0.2500
```

Summary:
ΔH_f (0 K) = 0.251 eV/atom

---

The records above give, respectively, N(E_F) values of 19.90 3.63 states/eV per cell.
The records above give, respectively, calculated density values of 7.4 8.1 Mg/m³.